First-principles (GGA-PBE) data for a relaxed structure of OsRu3Rh, as listed in Alexandria.

POSCAR file:
```
OsRu3Rh
1.0
2.693 0.000 0.000
0.000 2.455 6.266
0.000 -2.455 6.266
Os Ru Rh
1 3 1
Cartesian
0.000 0.000 0.000
0.000 -1.310 8.596
0.000 1.310 8.596
1.346 0.000 10.362
1.346 0.000 6.577
```

Properties
Calculated formation energy ... 0.655 eV per atom